PBE NaAc2PmSe4, relaxed; size of the total moment = 0.0 μB per formula unit; raw formation energy = -1.7758 eV/atom
1.0
4.368 0.000 0.000
0.000 7.436 -0.093
0.000 2.656 7.157
Na Ac Pm Se
1 2 1 4
Direct
0.500 0.500 0.000 Na
0.000 0.000 0.000 Ac
0.500 0.000 0.500 Ac
0.000 0.500 0.500 Pm
0.000 0.737 0.752 Se
0.000 0.263 0.248 Se
0.500 0.733 0.255 Se
0.500 0.267 0.745 Se

PBE SmPt5Pb, relaxed; size of the total moment = 0.0 μB per formula unit; energy relative to the elements = -3.75 eV/f.u.
1.0
-5.014 1.692 1.044
-3.302 -7.363 -3.925
0.243 -5.367 9.862
Sm Pt Pb
4 20 4
Direct
0.250 0.251 0.929 Sm
0.750 0.249 0.429 Sm
0.250 0.751 0.571 Sm
0.750 0.749 0.071 Sm
0.250 0.568 0.009 Pt
0.750 0.932 0.509 Pt
0.250 0.068 0.491 Pt
0.750 0.432 0.991 Pt
0.750 0.307 0.773 Pt
0.250 0.193 0.273 Pt
0.750 0.807 0.727 Pt
0.250 0.693 0.227 Pt
0.250 0.968 0.087 Pt
0.750 0.532 0.587 Pt
0.250 0.468 0.413 Pt
0.750 0.032 0.913 Pt
0.997 0.433 0.201 Pt
0.003 0.067 0.701 Pt
0.503 0.933 0.299 Pt
0.497 0.567 0.799 Pt
0.003 0.567 0.799 Pt
0.997 0.933 0.299 Pt
0.497 0.067 0.701 Pt
0.503 0.433 0.201 Pt
0.250 0.852 0.864 Pb
0.750 0.648 0.364 Pb
0.250 0.352 0.636 Pb
0.750 0.148 0.136 Pb